Entry 1:
VASP calculation (GGA-PBE) on a relaxed Li2CoSbS crystal.

Cell: 5.097 5.097 4.782 Å, 90.00 90.00 90.00°
Space group P4/mmm (No. 123)
Inequivalent atoms, fractional coordinates:
Li: 0.000 0.500 0.000 (multiplicity 2)
Co: 0.000 0.000 0.500 (multiplicity 1)
Sb: 0.000 0.000 0.000 (multiplicity 1)
S: 0.500 0.500 0.500 (multiplicity 1)

Values from the calculation:
- V (Å³/f.u.) = 124.2
- formation energy (no corrections) (eV per atom) = 0.4053
- total magnetic moment (Bohr magnetons per cell) = 3.123

Entry 2:
VASP calculation (GGA-PBE) on a relaxed TeHSe crystal.

Cell: 3.494 4.879 5.532 Å, 114.48 107.94 90.73°
Space group P1 (No. 1)
Inequivalent atoms, fractional coordinates:
Te: 0.000 0.000 0.000 (multiplicity 1)
H: 0.851 0.298 0.706 (multiplicity 1)
Se: 0.775 0.503 0.553 (multiplicity 1)

Values from the calculation:
- V (Å³/f.u.) = 80.6
- ΔE to the lowest computed polymorph (eV/atom) = 0.080
- total magnetic moment (Bohr magnetons per cell) = 0.000

Entry 3:
VASP calculation (GGA-PBE) on a relaxed Hf3TiS crystal.

Cell: 4.750 4.750 4.750 Å, 90.00 90.00 90.00°
Space group Pm-3m (No. 221)
Inequivalent atoms, fractional coordinates:
Hf: 0.000 0.000 0.500 (multiplicity 3)
Ti: 0.500 0.500 0.500 (multiplicity 1)
S: 0.000 0.000 0.000 (multiplicity 1)

Values from the calculation:
- V (Å³/f.u.) = 107.2
- ΔE to the lowest computed polymorph (eV/atom) = 0.196
- formation energy (no corrections) (eV per atom) = -0.2878
- total magnetic moment (Bohr magnetons per cell) = 0.000

Entry 4:
VASP calculation (GGA-PBE) on a relaxed Sr2EuPa crystal.

Cell: 3.5826 3.5826 41.5571 Å, 90.00 90.00 120.00°
Space group R-3m (No. 166, hexagonal axes)
Inequivalent atoms, fractional coordinates:
Sr: 0.0000 0.0000 0.0841 (multiplicity 6)
Eu: 0.0000 0.0000 0.5000 (multiplicity 3)
Pa: 0.0000 0.0000 0.0000 (multiplicity 3)

Values from the calculation:
- V (Å³/f.u.) = 154.0
- calculated formation energy (eV/atom) = 0.635
- total magnetic moment (Bohr magnetons per cell) = 25.366

Entry 5:
VASP calculation (GGA-PBE) on a relaxed TlH3Se crystal.

Cell: 4.062 4.062 4.062 Å, 90.00 90.00 90.00°
Space group Pm-3m (No. 221)
Inequivalent atoms, fractional coordinates:
Tl: 0.000 0.000 0.000 (multiplicity 1)
H: 0.000 0.000 0.500 (multiplicity 3)
Se: 0.500 0.500 0.500 (multiplicity 1)

Values from the calculation:
- V (Å³/f.u.) = 67.0
- ΔE to the lowest computed polymorph (eV/atom) = 1.027
- total magnetic moment (Bohr magnetons per cell) = 1.722

Entry 6:
VASP calculation (GGA-PBE) on a relaxed Cs2Ho2UTe6 crystal.

Cell: 7.710 13.319 9.531 Å, 90.00 105.72 90.00°
Space group C2/m (No. 12)
Inequivalent atoms, fractional coordinates:
Cs: 0.000 0.167 0.000 (multiplicity 4)
Ho: 0.000 0.333 0.500 (multiplicity 4)
U: 0.000 0.000 0.500 (multiplicity 2)
Te: 0.229 0.500 0.687 (multiplicity 4)
Te: 0.230 0.165 0.688 (multiplicity 8)

Values from the calculation:
- V (Å³/f.u.) = 471.1
- formation energy (no corrections) (eV per atom) = -1.1865
- total magnetic moment (Bohr magnetons per cell) = 4.000